1.
# VP2W GGA-PBE optimized geometry
data_VP2W
_cell_length_a 3.1834
_cell_length_b 3.1834
_cell_length_c 19.5302
_cell_angle_alpha 90.00
_cell_angle_beta 90.00
_cell_angle_gamma 120.00
_symmetry_space_group_name_H-M 'R 3 m'
_symmetry_Int_Tables_number 160
_symmetry_space_group_name_Hall 'R 3 -2"'
loop_
_atom_site_label
_atom_site_fract_x
_atom_site_fract_y
_atom_site_fract_z
V1 0.0000 0.0000 0.0000
P1 0.0000 0.0000 0.5809
P2 0.0000 0.0000 0.7421
W1 0.0000 0.0000 0.1601
# Formation enthalpy at 0 K ... -0.3298 eV per atom
# Raw total energy ... -8.553 eV/atom
# DOS(E_F) ... 0.995 states/eV/atom
# Mass density ... 8624 kg/m³

2.
# Y3Ho6Tl GGA-PBE optimized geometry
data_Y3Ho6Tl
_cell_length_a 12.829
_cell_length_b 3.550
_cell_length_c 14.373
_cell_angle_alpha 90.00
_cell_angle_beta 108.13
_cell_angle_gamma 90.00
_symmetry_space_group_name_H-M 'P 1 21/m 1'
_symmetry_Int_Tables_number 11
loop_
_symmetry_equiv_pos_as_xyz
'x,y,z'
'-x,-y,-z'
'-x,y+1/2,-z'
'x,-y+1/2,z'
loop_
_atom_site_label
_atom_site_fract_x
_atom_site_fract_y
_atom_site_fract_z
Y1 0.010 0.250 0.397
Y2 0.376 0.250 0.997
Y3 0.469 0.250 0.594
Ho1 0.137 0.750 0.023
Ho2 0.145 0.250 0.808
Ho3 0.218 0.250 0.600
Ho4 0.255 0.750 0.396
Ho5 0.334 0.250 0.216
Ho6 0.385 0.750 0.789
Tl1 0.077 0.250 0.196
# Formation enthalpy at 0 K ... -0.0096 eV per atom
# Raw total energy ... -4.932 eV/atom
# DOS(E_F) ... 1.466 states/eV/atom
# Mass density ... 7798 kg/m³

3.
# ZnSbI2O GGA-PBE optimized geometry
data_ZnSbI2O
_cell_length_a 5.359
_cell_length_b 5.359
_cell_length_c 5.399
_cell_angle_alpha 90.00
_cell_angle_beta 90.00
_cell_angle_gamma 90.00
_symmetry_space_group_name_H-M 'P 4/m m m'
_symmetry_Int_Tables_number 123
_symmetry_space_group_name_Hall '-P 4 2'
loop_
_atom_site_label
_atom_site_fract_x
_atom_site_fract_y
_atom_site_fract_z
Zn1 0.000 0.000 0.000
Sb1 0.000 0.000 0.500
I1 0.000 0.500 0.000
O1 0.500 0.500 0.500
# Formation energy (no corrections) ... 0.842 eV/atom
# Raw total energy ... -1.848 eV/atom
# DOS(E_F) ... 2.327 states/eV/atom
# Mass density ... 4893 kg/m³

4.
# LiLaTa GGA-PBE optimized geometry
data_LiLaTa
_cell_length_a 3.0470
_cell_length_b 3.0470
_cell_length_c 8.4430
_cell_angle_alpha 90.00
_cell_angle_beta 90.00
_cell_angle_gamma 120.00
_symmetry_space_group_name_H-M 'P 3 m 1'
_symmetry_Int_Tables_number 156
loop_
_symmetry_equiv_pos_as_xyz
'x,y,z'
'-y,x-y,z'
'-x+y,-x,z'
'-y,-x,z'
'-x+y,y,z'
'x,x-y,z'
loop_
_atom_site_label
_atom_site_fract_x
_atom_site_fract_y
_atom_site_fract_z
Li1 0.0000 0.0000 0.0000
La1 0.6667 0.3333 0.6291
Ta1 0.3333 0.6667 0.2908
# Formation enthalpy at 0 K ... 0.5134 eV per atom
# Raw total energy ... -5.718 eV/atom
# DOS(E_F) ... 0.875 states/eV/atom
# Mass density ... 7994 kg/m³

5.
# CsMgHg2Bi GGA-PBE optimized geometry
data_CsMgHg2Bi
_cell_length_a 5.835
_cell_length_b 5.835
_cell_length_c 5.602
_cell_angle_alpha 90.00
_cell_angle_beta 90.00
_cell_angle_gamma 90.00
_symmetry_space_group_name_H-M 'P 4/m m m'
_symmetry_Int_Tables_number 123
_symmetry_space_group_name_Hall '-P 4 2'
loop_
_atom_site_label
_atom_site_fract_x
_atom_site_fract_y
_atom_site_fract_z
Cs1 0.000 0.000 0.000
Mg1 0.500 0.500 0.500
Hg1 0.000 0.500 0.500
Bi1 0.500 0.500 0.000
# Formation enthalpy at 0 K ... -0.1604 eV per atom
# Raw total energy ... -1.547 eV/atom
# DOS(E_F) ... 0.332 states/eV/atom
# Mass density ... 6680 kg/m³

6.
# Ir2RuW GGA-PBE optimized geometry
data_Ir2RuW
_cell_length_a 6.228
_cell_length_b 6.228
_cell_length_c 6.228
_cell_angle_alpha 90.00
_cell_angle_beta 90.00
_cell_angle_gamma 90.00
_symmetry_space_group_name_H-M 'F -4 3 m'
_symmetry_Int_Tables_number 216
_symmetry_space_group_name_Hall 'F -4 2 3'
loop_
_atom_site_label
_atom_site_fract_x
_atom_site_fract_y
_atom_site_fract_z
Ir1 0.000 0.000 0.000
Ir2 0.250 0.250 0.250
Ru1 0.250 0.250 0.750
W1 0.000 0.000 0.500
# Formation enthalpy at 0 K ... 0.3119 eV per atom
# Raw total energy ... -9.676 eV/atom
# DOS(E_F) ... 1.616 states/eV/atom
# Mass density ... 18401 kg/m³

7.
# CsMo3N GGA-PBE optimized geometry
data_CsMo3N
_cell_length_a 4.919
_cell_length_b 4.919
_cell_length_c 4.919
_cell_angle_alpha 90.00
_cell_angle_beta 90.00
_cell_angle_gamma 90.00
_symmetry_space_group_name_H-M 'P m -3 m'
_symmetry_Int_Tables_number 221
_symmetry_space_group_name_Hall '-P 4 2 3'
loop_
_atom_site_label
_atom_site_fract_x
_atom_site_fract_y
_atom_site_fract_z
Cs1 0.000 0.000 0.000
Mo1 0.000 0.000 0.500
N1 0.500 0.500 0.500
# Formation energy (no corrections) ... 4.344 eV/atom
# Raw total energy ... -3.991 eV/atom
# DOS(E_F) ... 1.214 states/eV/atom
# Mass density ... 6064 kg/m³

8.
# Pu2TeH4 GGA-PBE optimized geometry
data_Pu2TeH4
_cell_length_a 3.8640
_cell_length_b 3.8640
_cell_length_c 22.6744
_cell_angle_alpha 90.00
_cell_angle_beta 90.00
_cell_angle_gamma 120.00
_symmetry_space_group_name_H-M 'R -3 m'
_symmetry_Int_Tables_number 166
_symmetry_space_group_name_Hall '-R 3 2"'
loop_
_atom_site_label
_atom_site_fract_x
_atom_site_fract_y
_atom_site_fract_z
Pu1 0.0000 0.0000 0.2363
Te1 0.0000 0.0000 0.0000
H1 0.0000 0.0000 0.1356
H2 0.0000 0.0000 0.4358
# Raw total energy ... -7.010 eV/atom
# DOS(E_F) ... 2.149 states/eV/atom
# Mass density ... 10529 kg/m³

9.
# KTa2Ag GGA-PBE optimized geometry
data_KTa2Ag
_cell_length_a 3.457
_cell_length_b 4.824
_cell_length_c 10.644
_cell_angle_alpha 90.00
_cell_angle_beta 90.00
_cell_angle_gamma 90.00
_symmetry_space_group_name_H-M 'C m m 2'
_symmetry_Int_Tables_number 35
loop_
_symmetry_equiv_pos_as_xyz
'x,y,z'
'-x,-y,z'
'-x,y,z'
'x,-y,z'
'x+1/2,y+1/2,z'
'-x+1/2,-y+1/2,z'
'-x+1/2,y+1/2,z'
'x+1/2,-y+1/2,z'
loop_
_atom_site_label
_atom_site_fract_x
_atom_site_fract_y
_atom_site_fract_z
K1 0.000 0.000 0.000
Ta1 0.000 0.000 0.494
Ta2 0.000 0.500 0.691
Ag1 0.000 0.500 0.276
# Formation enthalpy at 0 K ... 0.5329 eV per atom
# Raw total energy ... -6.381 eV/atom
# DOS(E_F) ... 1.060 states/eV/atom
# Mass density ... 9520 kg/m³

10.
# LiMnRh GGA-PBE optimized geometry
data_LiMnRh
_cell_length_a 2.817
_cell_length_b 3.714
_cell_length_c 7.883
_cell_angle_alpha 90.00
_cell_angle_beta 90.00
_cell_angle_gamma 90.00
_symmetry_space_group_name_H-M 'I m m 2'
_symmetry_Int_Tables_number 44
loop_
_symmetry_equiv_pos_as_xyz
'x,y,z'
'-x,-y,z'
'-x,y,z'
'x,-y,z'
'x+1/2,y+1/2,z+1/2'
'-x+1/2,-y+1/2,z+1/2'
'-x+1/2,y+1/2,z+1/2'
'x+1/2,-y+1/2,z+1/2'
loop_
_atom_site_label
_atom_site_fract_x
_atom_site_fract_y
_atom_site_fract_z
Li1 0.000 0.000 0.000
Mn1 0.000 0.000 0.676
Rh1 0.000 0.000 0.331
# Formation enthalpy at 0 K ... -0.0035 eV per atom
# Raw total energy ... -6.148 eV/atom
# DOS(E_F) ... 1.104 states/eV/atom
# Mass density ... 6636 kg/m³

11.
# Na2GeO9 GGA-PBE optimized geometry
data_Na2GeO9
_cell_length_a 6.565
_cell_length_b 5.655
_cell_length_c 10.432
_cell_angle_alpha 90.00
_cell_angle_beta 103.11
_cell_angle_gamma 90.00
_symmetry_space_group_name_H-M 'P 1 21 1'
_symmetry_Int_Tables_number 4
loop_
_symmetry_equiv_pos_as_xyz
'x,y,z'
'-x,y+1/2,-z'
loop_
_atom_site_label
_atom_site_fract_x
_atom_site_fract_y
_atom_site_fract_z
Na1 0.179 0.000 0.022
Na2 0.187 0.907 0.520
Ge1 0.197 0.555 0.783
O1 0.085 0.579 0.620
O2 0.115 0.645 0.918
O3 0.214 0.205 0.826
O4 0.215 0.535 0.330
O5 0.228 0.515 0.214
O6 0.279 0.063 0.742
O7 0.430 0.978 0.303
O8 0.469 0.109 0.407
O9 0.493 0.582 0.814
# Formation energy (no corrections) ... -0.673 eV/atom
# Raw total energy ... -4.996 eV/atom
# DOS(E_F) ... 0.026 states/eV/atom
# Mass density ... 2312 kg/m³

12.
# La2Pr4SmEr GGA-PBE optimized geometry
data_La2Pr4SmEr
_cell_length_a 5.193
_cell_length_b 5.216
_cell_length_c 10.469
_cell_angle_alpha 90.00
_cell_angle_beta 90.10
_cell_angle_gamma 90.00
_symmetry_space_group_name_H-M 'P 1 2/m 1'
_symmetry_Int_Tables_number 10
loop_
_symmetry_equiv_pos_as_xyz
'x,y,z'
'-x,-y,-z'
'-x,y,-z'
'x,-y,z'
loop_
_atom_site_label
_atom_site_fract_x
_atom_site_fract_y
_atom_site_fract_z
La1 0.000 0.000 0.000
La2 0.500 0.500 0.500
Pr1 0.000 0.500 0.251
Pr2 0.499 0.000 0.748
Sm1 0.500 0.500 0.000
Er1 0.000 0.000 0.500
# Formation enthalpy at 0 K ... 0.0191 eV per atom
# Raw total energy ... -4.763 eV/atom
# DOS(E_F) ... 1.695 states/eV/atom
# Mass density ... 6787 kg/m³

- Which of these has the highest mass density?
  Ir2RuW

- The lowest raw total energy belongs to which entry?
  Ir2RuW

- Which of these has the highest raw total energy?
  CsMgHg2Bi